# TlNiF3

TlNiF3 after structural relaxation (PBE with a Hubbard U, Alexandria via LeMat-Bulk).

a b c (Å): 3.6048 3.6048 6.7191
angles (deg): 90.00 90.00 90.00
Closest atoms and distances in Å follow each position.
Sites, in units of the cell vectors:
Tl1 0.0000 0.0000 0.0000  1 F 2.44
Ni1 0.5000 0.5000 0.4311  4 F 1.99
F1 0.0000 0.0000 0.6368  1 Tl 2.44
F2 0.0000 0.5000 0.3065  2 Ni 1.99
F3 0.5000 0.0000 0.3065  2 Ni 1.99

Output
Calculated density   6.09 g cm⁻³
Symmetry   P4mm (99)
Calculated total energy   -3.449 eV per atom